(1)
This record from Alexandria describes a relaxed structure of Tb12PmNd5. The functional is PBE.

Calculated values
Magnetic moment   0.000 μB per formula unit
DFT total energy   -4.576 eV/atom
Energy of formation   0.10 eV/atom

Lattice parameters (Å, degrees): 11.4473 10.4272 6.0069 90.00 89.99 56.71
Last column: nearest neighbours and their distance in Å.
Element x y z (fractional)
Tb  0.8224  0.0000  0.4452  1 Pm 3.36, 6 Tb 3.40-3.74, 3 Nd 3.56-3.71
Tb  0.1776  0.0000  0.5548  1 Pm 3.36, 6 Tb 3.40-3.74, 3 Nd 3.56-3.71
Tb  0.6791  0.0000  0.9452  3 Nd 3.37-3.56, 6 Tb 3.40-3.74, 1 Pm 3.69
Tb  0.3209  0.0000  0.0548  3 Nd 3.37-3.56, 6 Tb 3.40-3.74, 1 Pm 3.69
Tb  0.3442  0.6667  0.9469  3 Nd 3.37-3.70, 6 Tb 3.40-3.75, 1 Pm 3.56
Tb  0.9891  0.6667  0.0531  3 Nd 3.37-3.70, 6 Tb 3.40-3.75, 1 Pm 3.56
Tb  0.0109  0.3333  0.9469  3 Nd 3.37-3.70, 6 Tb 3.40-3.75, 1 Pm 3.56
Tb  0.6558  0.3333  0.0531  3 Nd 3.37-3.70, 6 Tb 3.40-3.75, 1 Pm 3.56
Tb  0.5115  0.3332  0.5531  4 Nd 3.37-3.70, 6 Tb 3.40-3.75
Tb  0.8447  0.6668  0.5531  4 Nd 3.37-3.70, 6 Tb 3.40-3.75
Tb  0.1553  0.3332  0.4469  4 Nd 3.37-3.70, 6 Tb 3.40-3.75
Tb  0.4885  0.6668  0.4469  4 Nd 3.37-3.70, 6 Tb 3.40-3.75
Pm  0.0000  0.0000  0.0000  8 Tb 3.36-3.69
Nd  0.5000  0.0000  0.5000  8 Tb 3.37-3.71
Nd  0.1665  0.6670  0.5000  8 Tb 3.37-3.70
Nd  0.8335  0.3330  0.5000  8 Tb 3.37-3.70
Nd  0.6661  0.6678  0.0000  8 Tb 3.37-3.70
Nd  0.3339  0.3322  0.0000  8 Tb 3.37-3.70

(2)
This record from Alexandria describes a relaxed structure of ScCr2Hg. The functional is PBE.

Calculated values
Magnetic moment   0.763 μB per formula unit
DFT total energy   -6.363 eV/atom
Energy of formation   0.11 eV/atom

Lattice parameters (Å, degrees): 3.1084 3.0859 7.7199 66.45 90.00 90.00
Last column: nearest neighbours and their distance in Å.
Element x y z (fractional)
Cr  0.0000  0.9591  0.0410  4 Cr 2.47
Cr  0.5000  0.2983  0.2014  4 Cr 2.47
Hg  0.0000  0.5261  0.4740  5 Cr 2.92-3.06, 4 Hg 3.09-3.11, 4 Sc 3.10
Sc  0.5000  0.7166  0.7836  5 Cr 2.85-2.96, 4 Sc 3.09-3.11, 4 Hg 3.10

(3)
This record from Alexandria describes a relaxed structure of Cs2Bi2H. The functional is PBE.

Calculated values
Magnetic moment   0.000 μB per formula unit
DFT total energy   -2.464 eV/atom

Lattice parameters (Å, degrees): 7.7694 7.7694 6.6466 54.24 54.24 90.00
Last column: nearest neighbours and their distance in Å.
Element x y z (fractional)
Cs  0.7500  0.2500  0.5000  2 Cs 3.74, 4 Bi 3.90
Cs  0.2500  0.7500  0.5000  2 Cs 3.74, 4 Bi 3.90
H  0.0000  0.0000  0.0000  2 Bi 2.16
Bi  0.2888  0.2888  0.4224  1 H 2.16
Bi  0.7112  0.7112  0.5776  1 H 2.16

(4)
This record from Alexandria describes a relaxed structure of Tb4FeI5. The functional is PBE.

Calculated values
Formation energy (no corrections)   -0.96 eV per atom
Magnetic moment   0.000 μB per formula unit
DFT total energy   -4.437 eV/atom

Lattice parameters (Å, degrees): 4.0879 9.1356 9.8335 102.97 102.00 90.00
Last column: nearest neighbours and their distance in Å.
Element x y z (fractional)
Tb  0.6302  0.0660  0.2604  1 Fe 2.44
Tb  0.9996  0.2103  0.9992  2 Fe 2.81
Tb  0.3698  0.9340  0.7396  1 Fe 2.44
Tb  0.0004  0.7897  0.0008  2 Fe 2.81
Fe  0.5000  0.0000  0.0000  2 Tb 2.44
I  0.1665  0.3328  0.3331  3 Tb 3.13-3.15
I  0.1711  0.8352  0.3422  3 Tb 3.16-3.21
I  0.8289  0.1648  0.6578  3 Tb 3.16-3.21
I  0.5000  0.5000  0.0000  4 Tb 3.34
I  0.8335  0.6672  0.6669  3 Tb 3.13-3.15

(5)
This record from Alexandria describes a relaxed structure of Pr2Sc3Pt4. The functional is PBE.

Calculated values
Energy above the most stable polymorph in this dataset   0.000 eV per atom
Magnetic moment   0.000 μB per formula unit
DFT total energy   -6.987 eV/atom
Energy of formation   -1.13 eV/atom

Lattice parameters (Å, degrees): 7.7930 7.3128 7.3779 90.00 90.00 110.31
Last column: nearest neighbours and their distance in Å.
Element x y z (fractional)
Pr  0.5765  0.1932  0.3279  6 Pt 2.98-3.20
Pr  0.9235  0.8068  0.8279  6 Pt 2.98-3.20
Pr  0.4235  0.8068  0.6721  6 Pt 2.98-3.20
Pr  0.0765  0.1932  0.1721  6 Pt 2.98-3.20
Sc  0.0000  0.5000  0.5000  6 Pt 2.80-3.10
Sc  0.5000  0.5000  0.0000  6 Pt 2.80-3.10
Sc  0.7485  0.2516  0.8436  6 Pt 2.73-2.89
Sc  0.7515  0.7484  0.3436  6 Pt 2.73-2.89
Sc  0.2515  0.7484  0.1564  6 Pt 2.73-2.89
Sc  0.2485  0.2516  0.6564  6 Pt 2.73-2.89
Pt  0.8676  0.0956  0.5499  4 Sc 2.76-2.89, 1 Pt 2.96, 2 Pr 3.08
Pt  0.6324  0.9044  0.0499  4 Sc 2.76-2.89, 1 Pt 2.96, 2 Pr 3.08
Pt  0.1324  0.9044  0.4501  4 Sc 2.76-2.89, 1 Pt 2.96, 2 Pr 3.08
Pt  0.3676  0.0956  0.9501  4 Sc 2.76-2.89, 1 Pt 2.96, 2 Pr 3.08
Pt  0.8769  0.5075  0.1421  4 Sc 2.73-2.84, 1 Pt 2.87, 1 Pr 2.98
Pt  0.6231  0.4925  0.6421  4 Sc 2.73-2.84, 1 Pt 2.87, 1 Pr 2.98
Pt  0.1231  0.4925  0.8579  4 Sc 2.73-2.84, 1 Pt 2.87, 1 Pr 2.98
Pt  0.3769  0.5075  0.3579  4 Sc 2.73-2.84, 1 Pt 2.87, 1 Pr 2.98

(6)
This record from Alexandria describes a relaxed structure of ErLu2Pa. The functional is PBE.

Calculated values
Energy above the most stable polymorph in this dataset   0.168 eV per atom
Magnetic moment   0.001 μB per formula unit
DFT total energy   -5.490 eV/atom
Energy of formation   0.29 eV/atom

Lattice parameters (Å, degrees): 5.4632 5.4632 5.4630 60.00 60.00 60.00
Last column: nearest neighbours and their distance in Å.
Element x y z (fractional)
Pa  0.0000  0.0000  0.0000  8 Lu 3.35
Lu  0.2500  0.2500  0.2500  4 Er 3.35, 4 Pa 3.35
Lu  0.7500  0.7500  0.7500  4 Er 3.35, 4 Pa 3.35
Er  0.5000  0.5000  0.5000  8 Lu 3.35